Record 1
KSmSb2Au2 | PBE | optimized geometry

CIF file:
```
data_KSmSb2Au2
_symmetry_space_group_name_H-M 'P -3 m 1'
_symmetry_Int_Tables_number 164
_symmetry_space_group_name_Hall '-P 3 2"'
_cell_length_a 4.6806
_cell_length_b 4.6806
_cell_length_c 9.2763
_cell_angle_alpha 90.00
_cell_angle_beta 90.00
_cell_angle_gamma 120.00
loop_
_atom_site_label
_atom_site_type_symbol
_atom_site_fract_x
_atom_site_fract_y
_atom_site_fract_z
K1 K 0.0000 0.0000 0.0000
Sm1 Sm 0.0000 0.0000 0.5000
Sb1 Sb 0.3333 0.6667 0.7294
Au1 Au 0.3333 0.6667 0.3166
```

Computed properties:
E	-4.149	eV per atom
formation energy from raw total energies	-0.713	eV per atom


Record 2
Na6Tl2Bi3 | PBE | optimized geometry

CIF file:
```
data_Na6Tl2Bi3
_symmetry_space_group_name_H-M 'I 4/m m m'
_symmetry_Int_Tables_number 139
_symmetry_space_group_name_Hall '-I 4 2'
_cell_length_a 5.0962
_cell_length_b 5.0962
_cell_length_c 29.8993
_cell_angle_alpha 90.00
_cell_angle_beta 90.00
_cell_angle_gamma 90.00
loop_
_atom_site_label
_atom_site_type_symbol
_atom_site_fract_x
_atom_site_fract_y
_atom_site_fract_z
Na1 Na 0.0000 0.0000 0.2276
Na2 Na 0.0000 0.5000 0.0619
Tl1 Tl 0.0000 0.0000 0.3406
Bi1 Bi 0.0000 0.0000 0.0000
Bi2 Bi 0.0000 0.0000 0.1246
```

Computed properties:
E	-2.305	eV per atom


Record 3
KCrSi2 | PBE | optimized geometry

CIF file:
```
data_KCrSi2
_symmetry_space_group_name_H-M 'P 4/m m m'
_symmetry_Int_Tables_number 123
_symmetry_space_group_name_Hall '-P 4 2'
_cell_length_a 5.3467
_cell_length_b 5.3467
_cell_length_c 2.8002
_cell_angle_alpha 90.00
_cell_angle_beta 90.00
_cell_angle_gamma 90.00
loop_
_atom_site_label
_atom_site_type_symbol
_atom_site_fract_x
_atom_site_fract_y
_atom_site_fract_z
K1 K 0.0000 0.0000 0.0000
Cr1 Cr 0.5000 0.5000 0.0000
Si1 Si 0.0000 0.5000 0.5000
```

Computed properties:
E	-4.455	eV per atom
energy relative to the lowest polymorph listed for this composition	0.7820	eV per atom
formation energy from raw total energies	0.937	eV per atom


Record 4
ZrAs2Ir | PBE | optimized geometry

CIF file:
```
data_ZrAs2Ir
_symmetry_space_group_name_H-M 'P 4 m m'
_symmetry_Int_Tables_number 99
_symmetry_space_group_name_Hall 'P 4 -2'
_cell_length_a 2.9850
_cell_length_b 2.9850
_cell_length_c 8.7139
_cell_angle_alpha 90.00
_cell_angle_beta 90.00
_cell_angle_gamma 90.00
loop_
_atom_site_label
_atom_site_type_symbol
_atom_site_fract_x
_atom_site_fract_y
_atom_site_fract_z
Zr1 Zr 0.0000 0.0000 0.0000
As1 As 0.0000 0.0000 0.5858
As2 As 0.5000 0.5000 0.2346
Ir1 Ir 0.5000 0.5000 0.7599
```

Computed properties:
E	-7.053	eV per atom
energy relative to the lowest polymorph listed for this composition	0.1877	eV per atom


Record 5
Dy12Ho2Th5 | PBE | optimized geometry

CIF file:
```
data_Dy12Ho2Th5
_symmetry_space_group_name_H-M 'C 1 2/m 1'
_symmetry_Int_Tables_number 12
_symmetry_space_group_name_Hall '-C 2y'
_cell_length_a 18.6453
_cell_length_b 7.0372
_cell_length_c 10.2050
_cell_angle_alpha 90.00
_cell_angle_beta 113.12
_cell_angle_gamma 90.00
loop_
_atom_site_label
_atom_site_type_symbol
_atom_site_fract_x
_atom_site_fract_y
_atom_site_fract_z
Dy1 Dy 0.0045 0.0000 0.3235
Dy2 Dy 0.0286 0.5000 0.2382
Dy3 Dy 0.1574 0.2536 0.8631
Dy4 Dy 0.1672 0.2510 0.5180
Ho1 Ho 0.0000 0.2163 0.0000
Th1 Th 0.0000 0.5000 0.5000
Th2 Th 0.1775 0.0000 0.2089
Th3 Th 0.1856 0.5000 0.1791
```

Computed properties:
E	-5.125	eV per atom


Record 6
ZrCo3 | PBE | optimized geometry

CIF file:
```
data_ZrCo3
_symmetry_space_group_name_H-M 'P m m n'
_symmetry_Int_Tables_number 59
_cell_length_a 4.1140
_cell_length_b 5.1733
_cell_length_c 5.0547
_cell_angle_alpha 90.00
_cell_angle_beta 90.00
_cell_angle_gamma 90.00
loop_
_symmetry_equiv_pos_as_xyz
'x,y,z'
'-x,-y,-z'
'-x+1/2,-y+1/2,z'
'x+1/2,y+1/2,-z'
'x+1/2,-y,-z'
'-x+1/2,y,z'
'-x,y+1/2,-z'
'x,-y+1/2,z'
loop_
_atom_site_label
_atom_site_type_symbol
_atom_site_fract_x
_atom_site_fract_y
_atom_site_fract_z
Zr1 Zr 0.2500 0.2500 0.1193
Co1 Co 0.2500 0.0070 0.6308
Co2 Co 0.2500 0.7500 0.2367
```

Computed properties:
E	-7.612	eV per atom


Record 7
Li3Zn2In4 | PBE | optimized geometry

CIF file:
```
data_Li3Zn2In4
_symmetry_space_group_name_H-M 'C 1 2/m 1'
_symmetry_Int_Tables_number 12
_symmetry_space_group_name_Hall '-C 2y'
_cell_length_a 9.4704
_cell_length_b 4.4953
_cell_length_c 8.6216
_cell_angle_alpha 90.00
_cell_angle_beta 92.60
_cell_angle_gamma 90.00
loop_
_atom_site_label
_atom_site_type_symbol
_atom_site_fract_x
_atom_site_fract_y
_atom_site_fract_z
Li1 Li 0.0000 0.0000 0.0000
Li2 Li 0.1329 0.5000 0.2418
Zn1 Zn 0.2434 0.0000 0.4162
In1 In 0.0596 0.0000 0.6683
In2 In 0.1731 0.5000 0.8982
```

Computed properties:
E	-2.295	eV per atom


Record 8
YMoS2N | PBE | optimized geometry

CIF file:
```
data_YMoS2N
_symmetry_space_group_name_H-M 'P 4/m m m'
_symmetry_Int_Tables_number 123
_symmetry_space_group_name_Hall '-P 4 2'
_cell_length_a 4.8474
_cell_length_b 4.8474
_cell_length_c 3.8208
_cell_angle_alpha 90.00
_cell_angle_beta 90.00
_cell_angle_gamma 90.00
loop_
_atom_site_label
_atom_site_type_symbol
_atom_site_fract_x
_atom_site_fract_y
_atom_site_fract_z
Y1 Y 0.0000 0.0000 0.0000
Mo1 Mo 0.5000 0.5000 0.5000
S1 S 0.0000 0.5000 0.5000
N1 N 0.5000 0.5000 0.0000
```

Computed properties:
E	-7.494	eV per atom
energy relative to the lowest polymorph listed for this composition	0.0000	eV per atom
formation energy from raw total energies	-0.719	eV per atom


Record 9
Ho2Mn2ZnNi5 | PBE | optimized geometry

CIF file:
```
data_Ho2Mn2ZnNi5
_symmetry_space_group_name_H-M 'P 4/m b m'
_symmetry_Int_Tables_number 127
_symmetry_space_group_name_Hall '-P 4 2ab'
_cell_length_a 9.1135
_cell_length_b 9.1135
_cell_length_c 3.6218
_cell_angle_alpha 90.00
_cell_angle_beta 90.00
_cell_angle_gamma 90.00
loop_
_atom_site_label
_atom_site_type_symbol
_atom_site_fract_x
_atom_site_fract_y
_atom_site_fract_z
Ho1 Ho 0.1803 0.3197 0.0000
Mn1 Mn 0.1187 0.6187 0.0000
Zn1 Zn 0.0000 0.0000 0.0000
Ni1 Ni 0.0000 0.5000 0.5000
Ni2 Ni 0.0579 0.7956 0.5000
```

Computed properties:
E	-5.910	eV per atom


Record 10
MnCo | PBE | optimized geometry

CIF file:
```
data_MnCo
_symmetry_space_group_name_H-M 'P m m n'
_symmetry_Int_Tables_number 59
_cell_length_a 2.4703
_cell_length_b 3.9194
_cell_length_c 4.3176
_cell_angle_alpha 90.00
_cell_angle_beta 90.00
_cell_angle_gamma 90.00
loop_
_symmetry_equiv_pos_as_xyz
'x,y,z'
'-x,-y,-z'
'-x+1/2,-y+1/2,z'
'x+1/2,y+1/2,-z'
'x+1/2,-y,-z'
'-x+1/2,y,z'
'-x,y+1/2,-z'
'x,-y+1/2,z'
loop_
_atom_site_label
_atom_site_type_symbol
_atom_site_fract_x
_atom_site_fract_y
_atom_site_fract_z
Mn1 Mn 0.2500 0.2500 0.0886
Co1 Co 0.2500 0.7500 0.4197
```

Computed properties:
E	-8.093	eV per atom


Record 11
BAs2Pd8 | PBE | optimized geometry

CIF file:
```
data_BAs2Pd8
_symmetry_space_group_name_H-M 'C 1 2/m 1'
_symmetry_Int_Tables_number 12
_symmetry_space_group_name_Hall '-C 2y'
_cell_length_a 14.4135
_cell_length_b 4.3522
_cell_length_c 5.5449
_cell_angle_alpha 90.00
_cell_angle_beta 110.56
_cell_angle_gamma 90.00
loop_
_atom_site_label
_atom_site_type_symbol
_atom_site_fract_x
_atom_site_fract_y
_atom_site_fract_z
B1 B 0.0000 0.0000 0.0000
As1 As 0.1740 0.5000 0.6975
Pd1 Pd 0.0218 0.5000 0.7855
Pd2 Pd 0.0894 0.0000 0.4013
Pd3 Pd 0.1491 0.0000 0.9565
Pd4 Pd 0.2044 0.5000 0.2953
```

Computed properties:
E	-5.475	eV per atom
energy relative to the lowest polymorph listed for this composition	0.0000	eV per atom


Record 12
Sc5Co2Hg | PBE | optimized geometry

CIF file:
```
data_Sc5Co2Hg
_symmetry_space_group_name_H-M 'I 4/m c m'
_symmetry_Int_Tables_number 140
_symmetry_space_group_name_Hall '-I 4 2c'
_cell_length_a 7.1064
_cell_length_b 7.1064
_cell_length_c 12.4299
_cell_angle_alpha 90.00
_cell_angle_beta 90.00
_cell_angle_gamma 90.00
loop_
_atom_site_label
_atom_site_type_symbol
_atom_site_fract_x
_atom_site_fract_y
_atom_site_fract_z
Sc1 Sc 0.0000 0.0000 0.0000
Sc2 Sc 0.1599 0.3401 0.1337
Co1 Co 0.1360 0.3640 0.5000
Hg1 Hg 0.0000 0.0000 0.2500
```

Computed properties:
E	-6.101	eV per atom